*P*
A plane-wave DFT calculation with PBE-GGA was carried out for EuPuSn2 after structural relaxation.

Results
Volume   119.1 Å³ per cell

Lattice parameters (Å, degrees): 10.4990 10.4990 10.4990 20.06 20.06 20.06
Fractional positions:
1 Eu 0.0000 0.0000 0.0000
2 Pu 0.5000 0.5000 0.5000
3 Sn 0.2488 0.2488 0.2488
4 Sn 0.7512 0.7512 0.7512

---

*Q*
A plane-wave DFT calculation with PBE-GGA was carried out for EuPuSn2 after structural relaxation.

Results
Volume   112.1 Å³ per cell

Lattice parameters (Å, degrees): 5.0039 5.0039 4.4766 90.00 90.00 90.00
Fractional positions:
1 Eu 0.0000 0.0000 0.0000
2 Pu 0.5000 0.5000 0.0000
3 Sn 0.0000 0.5000 0.5000
4 Sn 0.5000 0.0000 0.5000

---

*R*
A plane-wave DFT calculation with PBE-GGA was carried out for EuPuSn2 after structural relaxation.

Results
Volume   114.7 Å³ per cell

Lattice parameters (Å, degrees): 5.4541 5.4541 5.4541 60.00 60.00 60.00
Fractional positions:
1 Eu 0.0000 0.0000 0.0000
2 Pu 0.5000 0.5000 0.5000
3 Sn 0.2500 0.2500 0.2500
4 Sn 0.7500 0.7500 0.7500

---

Referenced to the most stable arrangement, the calculated values in kJ/mol of atoms are *P* 15.2; *Q* 0.0; *R* 3.4.

---

*P*
A plane-wave DFT calculation with PBE-GGA was carried out for EuPuSn after structural relaxation.

Results
Volume   80.5 Å³ per cell

Lattice parameters (Å, degrees): 5.3675 5.3675 3.2248 90.00 90.00 120.00
Fractional positions:
1 Eu 0.0000 0.0000 0.0000
2 Pu 0.6667 0.3333 0.0000
3 Sn 0.3333 0.6667 0.5000

---

*Q*
A plane-wave DFT calculation with PBE-GGA was carried out for EuPuSn after structural relaxation.

Results
Volume   86.4 Å³ per cell

Lattice parameters (Å, degrees): 5.8825 5.8825 5.8825 139.09 139.09 59.23
Fractional positions:
1 Eu 0.0000 0.0000 0.0000
2 Pu 0.3065 0.3065 0.0000
3 Sn 0.6560 0.6560 0.0000

---

Referenced to the most stable arrangement, the calculated values in kJ/mol of atoms are *P* 4.7; *Q* 0.0.

---

*P*
A plane-wave DFT calculation with PBE-GGA was carried out for EuPuTl after structural relaxation.

Results
Volume   88.2 Å³ per cell

Lattice parameters (Å, degrees): 5.4971 5.4971 3.3692 90.00 90.00 120.00
Fractional positions:
1 Eu 0.0000 0.0000 0.0000
2 Pu 0.3333 0.6667 0.3753
3 Tl 0.6667 0.3333 0.6420

---

*Q*
A plane-wave DFT calculation with PBE-GGA was carried out for EuPuTl after structural relaxation.

Results
Volume   94.0 Å³ per cell

Lattice parameters (Å, degrees): 6.8285 6.8285 6.8285 147.02 147.02 47.33
Fractional positions:
1 Eu 0.0000 0.0000 0.0000
2 Pu 0.6953 0.6953 0.0000
3 Tl 0.3403 0.3403 0.0000

---

Referenced to the most stable arrangement, the calculated values in kJ/mol of atoms are *P* 8.6; *Q* 0.0.

---

*P*
A plane-wave DFT calculation with PBE-GGA was carried out for EuPuTl2 after structural relaxation.

Results
Volume   119.9 Å³ per cell

Lattice parameters (Å, degrees): 3.8639 3.8639 8.0316 90.00 90.00 90.00
Fractional positions:
1 Eu 0.0000 0.0000 0.0000
2 Pu 0.0000 0.0000 0.5000
3 Tl 0.5000 0.5000 0.2591
4 Tl 0.5000 0.5000 0.7409

---

*Q*
A plane-wave DFT calculation with PBE-GGA was carried out for EuPuTl2 after structural relaxation.

Results
Volume   119.7 Å³ per cell

Lattice parameters (Å, degrees): 5.5320 5.5320 5.5320 60.00 60.00 60.00
Fractional positions:
1 Eu 0.0000 0.0000 0.0000
2 Pu 0.5000 0.5000 0.5000
3 Tl 0.2500 0.2500 0.2500
4 Tl 0.7500 0.7500 0.7500

---

Referenced to the most stable arrangement, the calculated values in kJ/mol of atoms are *P* 0.0; *Q* 1.9.

---

*P*
A plane-wave DFT calculation with PBE-GGA was carried out for EuTm2Pu after structural relaxation.

Results
Volume   125.6 Å³ per cell

Lattice parameters (Å, degrees): 4.9749 4.9749 5.0750 90.00 90.00 90.00
Fractional positions:
1 Eu 0.0000 0.0000 0.0000
2 Tm 0.0000 0.5000 0.5000
3 Tm 0.5000 0.0000 0.5000
4 Pu 0.5000 0.5000 0.0000

---

*Q*
A plane-wave DFT calculation with PBE-GGA was carried out for EuTm2Pu after structural relaxation.

Results
Volume   125.4 Å³ per cell

Lattice parameters (Å, degrees): 3.5496 3.5496 9.9514 90.00 90.00 90.00
Fractional positions:
1 Eu 0.0000 0.0000 0.0000
2 Tm 0.5000 0.5000 0.2697
3 Tm 0.5000 0.5000 0.7303
4 Pu 0.0000 0.0000 0.5000

---

Referenced to the most stable arrangement, the calculated values in kJ/mol of atoms are *P* 7.9; *Q* 0.0.

---

*P*
A plane-wave DFT calculation with PBE-GGA was carried out for RbEuSb2 after structural relaxation.

Results
Volume   167.1 Å³ per cell

Lattice parameters (Å, degrees): 7.9841 7.9841 7.9841 37.25 37.25 37.25
Fractional positions:
1 Rb 0.0000 0.0000 0.0000
2 Eu 0.5000 0.5000 0.5000
3 Sb 0.2209 0.2209 0.2209
4 Sb 0.7791 0.7791 0.7791

---

*Q*
A plane-wave DFT calculation with PBE-GGA was carried out for RbEuSb2 after structural relaxation.

Results
Volume   147.4 Å³ per cell

Lattice parameters (Å, degrees): 4.3449 4.3449 7.8100 90.00 90.00 90.00
Fractional positions:
1 Rb 0.0000 0.0000 0.0000
2 Eu 0.0000 0.0000 0.5000
3 Sb 0.5000 0.5000 0.3178
4 Sb 0.5000 0.5000 0.6822

---

Referenced to the most stable arrangement, the calculated values in kJ/mol of atoms are *P* 30.6; *Q* 0.0.

---

*P*
A plane-wave DFT calculation with PBE-GGA was carried out for RbSr2Eu after structural relaxation.

Results
Volume   233.1 Å³ per cell

Lattice parameters (Å, degrees): 6.9083 6.9083 6.9083 60.00 60.00 60.00
Fractional positions:
1 Rb 0.0000 0.0000 0.0000
2 Sr 0.2500 0.2500 0.2500
3 Sr 0.7500 0.7500 0.7500
4 Eu 0.5000 0.5000 0.5000

---

*Q*
A plane-wave DFT calculation with PBE-GGA was carried out for RbSr2Eu after structural relaxation.

Results
Volume   228.6 Å³ per cell

Lattice parameters (Å, degrees): 7.1030 7.1030 4.5314 90.00 90.00 90.00
Fractional positions:
1 Rb 0.0000 0.0000 0.0000
2 Sr 0.0000 0.5000 0.5000
3 Sr 0.5000 0.0000 0.5000
4 Eu 0.5000 0.5000 0.0000

---

*R*
A plane-wave DFT calculation with PBE-GGA was carried out for RbSr2Eu after structural relaxation.

Results
Volume   233.1 Å³ per cell

Lattice parameters (Å, degrees): 4.2375 4.2375 12.9797 90.00 90.00 90.00
Fractional positions:
1 Rb 0.0000 0.0000 0.0000
2 Sr 0.5000 0.5000 0.2821
3 Sr 0.5000 0.5000 0.7179
4 Eu 0.0000 0.0000 0.5000

---

*S*
A plane-wave DFT calculation with PBE-GGA was carried out for RbSr2Eu after structural relaxation.

Results
Volume   235.0 Å³ per cell

Lattice parameters (Å, degrees): 15.4022 15.4022 15.4022 15.76 15.76 15.76
Fractional positions:
1 Rb 0.0000 0.0000 0.0000
2 Sr 0.0937 0.0937 0.0937
3 Sr 0.9063 0.9063 0.9063
4 Eu 0.5000 0.5000 0.5000

---

Referenced to the most stable arrangement, the calculated values in kJ/mol of atoms are *P* 8.0; *Q* 6.7; *R* 0.0; *S* 3.2.

---

*P*
A plane-wave DFT calculation with PBE-GGA was carried out for RbEuTl2 after structural relaxation.

Results
Volume   148.4 Å³ per cell

Lattice parameters (Å, degrees): 4.0967 4.0967 8.8442 90.00 90.00 90.00
Fractional positions:
1 Rb 0.0000 0.0000 0.0000
2 Eu 0.0000 0.0000 0.5000
3 Tl 0.5000 0.5000 0.2961
4 Tl 0.5000 0.5000 0.7039

---

*Q*
A plane-wave DFT calculation with PBE-GGA was carried out for RbEuTl2 after structural relaxation.

Results
Volume   145.7 Å³ per cell

Lattice parameters (Å, degrees): 5.9062 5.9062 5.9062 60.00 60.00 60.00
Fractional positions:
1 Rb 0.0000 0.0000 0.0000
2 Eu 0.5000 0.5000 0.5000
3 Tl 0.2500 0.2500 0.2500
4 Tl 0.7500 0.7500 0.7500

---

*R*
A plane-wave DFT calculation with PBE-GGA was carried out for RbEuTl2 after structural relaxation.

Results
Volume   153.7 Å³ per cell

Lattice parameters (Å, degrees): 11.4974 11.4974 11.4974 19.88 19.88 19.88
Fractional positions:
1 Rb 0.0000 0.0000 0.0000
2 Eu 0.5000 0.5000 0.5000
3 Tl 0.2421 0.2421 0.2421
4 Tl 0.7579 0.7579 0.7579

---

Referenced to the most stable arrangement, the calculated values in kJ/mol of atoms are *P* 0.0; *Q* 9.3; *R* 12.9.